# Gd2AlCd, optimized geometry, DFT PBEsol
# Crystal system = cubic
# ΔH_f (0 K) = -0.38 eV/atom
data_Gd2AlCd
_symmetry_space_group_name_H-M 'P 1'
_symmetry_Int_Tables_number 1
_cell_length_a 5.170
_cell_length_b 5.170
_cell_length_c 5.170
_cell_angle_alpha 60.00
_cell_angle_beta 60.00
_cell_angle_gamma 60.00
loop_
_symmetry_equiv_pos_as_xyz
'x,y,z'
loop_
_atom_site_label
_atom_site_type_symbol
_atom_site_fract_x
_atom_site_fract_y
_atom_site_fract_z
_atom_site_occupancy
Gd1 Gd 0.750 0.750 0.750 1
Gd2 Gd 0.250 0.250 0.250 1
Al1 Al 0.000 0.000 0.000 1
Cd1 Cd 0.500 0.500 0.500 1